Run 1
# RbInCl2, optimized geometry, DFT PBE
# - ρ (g/cm3) = 3.73
# - symmetry = P4/mmm, No. 123
data_RbInCl2
_space_group_name_H-M_alt 'P 1'
_space_group_IT_number 1
_space_group_name_Hall 'P 1'
_cell_length_a 3.896
_cell_length_b 5.563
_cell_length_c 5.563
_cell_angle_alpha 90.00
_cell_angle_beta 90.00
_cell_angle_gamma 90.00
loop_
_atom_site_label
_atom_site_type_symbol
_atom_site_fract_x
_atom_site_fract_y
_atom_site_fract_z
In1 In 0.500 0.500 0.500
Rb1 Rb 0.500 0.000 0.000
Cl1 Cl 0.000 0.500 0.000
Cl2 Cl 0.000 0.000 0.500

---

Run 2
# RbInCl2, optimized geometry, DFT PBE
# - ρ (g/cm3) = 2.32
# - symmetry = R-3m, No. 166
data_RbInCl2
_space_group_name_H-M_alt 'P 1'
_space_group_IT_number 1
_space_group_name_Hall 'P 1'
_cell_length_a 9.652
_cell_length_b 9.652
_cell_length_c 9.652
_cell_angle_alpha 29.60
_cell_angle_beta 29.60
_cell_angle_gamma 29.60
loop_
_atom_site_label
_atom_site_type_symbol
_atom_site_fract_x
_atom_site_fract_y
_atom_site_fract_z
Cl1 Cl 0.893 0.893 0.893
In1 In 0.500 0.500 0.500
Cl2 Cl 0.107 0.107 0.107
Rb1 Rb 0.000 0.000 0.000

---

Run 3
# RbInCl2, optimized geometry, DFT PBE
# - ρ (g/cm3) = 3.15
# - symmetry = Pmn2_1, No. 31
data_RbInCl2
_space_group_name_H-M_alt 'P 1'
_space_group_IT_number 1
_space_group_name_Hall 'P 1'
_cell_length_a 6.537
_cell_length_b 6.562
_cell_length_c 6.676
_cell_angle_alpha 90.00
_cell_angle_beta 90.00
_cell_angle_gamma 90.00
loop_
_atom_site_label
_atom_site_type_symbol
_atom_site_fract_x
_atom_site_fract_y
_atom_site_fract_z
Cl1 Cl 0.000 0.348 0.501
In1 In 0.000 0.878 0.504
Rb1 Rb 0.500 0.876 0.999
In2 In 0.500 0.378 0.496
Cl2 Cl 0.500 0.848 0.499
Rb2 Rb 0.000 0.376 0.001
Cl3 Cl 0.000 0.877 0.074
Cl4 Cl 0.500 0.377 0.926

---

Run 4
# RbInCl2, optimized geometry, DFT PBE
# - ρ (g/cm3) = 2.35
# - symmetry = I-42d, No. 122
data_RbInCl2
_space_group_name_H-M_alt 'P 1'
_space_group_IT_number 1
_space_group_name_Hall 'P 1'
_cell_length_a 7.190
_cell_length_b 7.190
_cell_length_c 8.987
_cell_angle_alpha 66.42
_cell_angle_beta 66.42
_cell_angle_gamma 90.00
loop_
_atom_site_label
_atom_site_type_symbol
_atom_site_fract_x
_atom_site_fract_y
_atom_site_fract_z
Cl1 Cl 0.875 0.893 0.750
In1 In 0.750 0.250 0.500
Cl2 Cl 0.107 0.625 0.250
Cl3 Cl 0.643 0.125 0.250
Rb1 Rb 0.250 0.750 0.500
Cl4 Cl 0.375 0.357 0.750
Rb2 Rb 0.500 0.500 0.000
In2 In 0.000 0.000 0.000

---

Best to worst by energy: run 3, run 1, run 4, run 2.

---

Run 1
# RbInCl2, optimized geometry, DFT PBE
# - ρ (g/cm3) = 3.72
# - symmetry = P4/mmm, No. 123
data_RbInCl2
_space_group_name_H-M_alt 'P 1'
_space_group_IT_number 1
_space_group_name_Hall 'P 1'
_cell_length_a 3.917
_cell_length_b 3.917
_cell_length_c 7.881
_cell_angle_alpha 90.00
_cell_angle_beta 90.00
_cell_angle_gamma 90.00
loop_
_atom_site_label
_atom_site_type_symbol
_atom_site_fract_x
_atom_site_fract_y
_atom_site_fract_z
Cl1 Cl 0.000 0.000 0.247
Cl2 Cl 0.000 0.000 0.753
In1 In 0.500 0.500 0.000
Rb1 Rb 0.500 0.500 0.500

---

Run 2
# RbInCl2, optimized geometry, DFT PBE
# - ρ (g/cm3) = 3.16
# - symmetry = R3m, No. 160
data_RbInCl2
_space_group_name_H-M_alt 'P 1'
_space_group_IT_number 1
_space_group_name_Hall 'P 1'
_cell_length_a 4.551
_cell_length_b 4.551
_cell_length_c 8.366
_cell_angle_alpha 74.22
_cell_angle_beta 74.22
_cell_angle_gamma 60.00
loop_
_atom_site_label
_atom_site_type_symbol
_atom_site_fract_x
_atom_site_fract_y
_atom_site_fract_z
Rb1 Rb 0.499 0.499 0.503
Cl1 Cl 0.081 0.081 0.758
Cl2 Cl 0.253 0.253 0.242
In1 In 0.668 0.668 0.997

---

Best to worst by energy: run 2, run 1.

---

Run 1
# RbIn3Cl, optimized geometry, DFT PBE
# - ρ (g/cm3) = 3.78
# - symmetry = Pm-3m, No. 221
data_RbIn3Cl
_space_group_name_H-M_alt 'P 1'
_space_group_IT_number 1
_space_group_name_Hall 'P 1'
_cell_length_a 5.891
_cell_length_b 5.891
_cell_length_c 5.891
_cell_angle_alpha 90.00
_cell_angle_beta 90.00
_cell_angle_gamma 90.00
loop_
_atom_site_label
_atom_site_type_symbol
_atom_site_fract_x
_atom_site_fract_y
_atom_site_fract_z
In1 In 0.500 0.000 0.000
In2 In 0.000 0.500 0.000
In3 In 0.000 0.000 0.500
Cl1 Cl 0.000 0.000 0.000
Rb1 Rb 0.500 0.500 0.500

---

Run 2
# RbIn3Cl, optimized geometry, DFT PBE
# - ρ (g/cm3) = 2.61
# - symmetry = Pm-3m, No. 221
data_RbIn3Cl
_space_group_name_H-M_alt 'P 1'
_space_group_IT_number 1
_space_group_name_Hall 'P 1'
_cell_length_a 6.667
_cell_length_b 6.667
_cell_length_c 6.667
_cell_angle_alpha 90.00
_cell_angle_beta 90.00
_cell_angle_gamma 90.00
loop_
_atom_site_label
_atom_site_type_symbol
_atom_site_fract_x
_atom_site_fract_y
_atom_site_fract_z
In1 In 0.000 0.000 0.500
In2 In 0.500 0.000 0.000
In3 In 0.000 0.500 0.000
Cl1 Cl 0.500 0.500 0.500
Rb1 Rb 0.000 0.000 0.000

---

Best to worst by energy: run 1, run 2.

---

Run 1
# Rb2InCl4, optimized geometry, DFT PBE
# - ρ (g/cm3) = 2.90
# - symmetry = I4/mmm, No. 139
data_Rb2InCl4
_space_group_name_H-M_alt 'P 1'
_space_group_IT_number 1
_space_group_name_Hall 'P 1'
_cell_length_a 5.391
_cell_length_b 5.391
_cell_length_c 9.244
_cell_angle_alpha 73.05
_cell_angle_beta 73.05
_cell_angle_gamma 90.00
loop_
_atom_site_label
_atom_site_type_symbol
_atom_site_fract_x
_atom_site_fract_y
_atom_site_fract_z
Cl1 Cl 0.000 0.500 0.000
Rb1 Rb 0.642 0.642 0.716
In1 In 0.000 0.000 0.000
Rb2 Rb 0.358 0.358 0.284
Cl2 Cl 0.165 0.165 0.670
Cl3 Cl 0.835 0.835 0.330
Cl4 Cl 0.500 0.000 0.000

---

Run 2
# Rb2InCl4, optimized geometry, DFT PBE
# - ρ (g/cm3) = 2.53
# - symmetry = Fmm2, No. 42
data_Rb2InCl4
_space_group_name_H-M_alt 'P 1'
_space_group_IT_number 1
_space_group_name_Hall 'P 1'
_cell_length_a 6.523
_cell_length_b 6.523
_cell_length_c 8.051
_cell_angle_alpha 113.89
_cell_angle_beta 113.89
_cell_angle_gamma 90.02
loop_
_atom_site_label
_atom_site_type_symbol
_atom_site_fract_x
_atom_site_fract_y
_atom_site_fract_z
Cl1 Cl 0.274 0.138 0.411
Cl2 Cl 0.070 0.365 0.000
Rb1 Rb 0.316 0.684 0.500
Rb2 Rb 0.816 0.184 0.500
In1 In 0.026 0.974 0.000
Cl3 Cl 0.862 0.726 0.589
Cl4 Cl 0.635 0.930 0.000

---

Best to worst by energy: run 1, run 2.

---

Run 1
# Rb2InCl3, optimized geometry, DFT PBE
# - ρ (g/cm3) = 2.44
# - symmetry = Cmc2_1, No. 36
data_Rb2InCl3
_space_group_name_H-M_alt 'P 1'
_space_group_IT_number 1
_space_group_name_Hall 'P 1'
_cell_length_a 6.613
_cell_length_b 9.668
_cell_length_c 9.668
_cell_angle_alpha 120.37
_cell_angle_beta 90.00
_cell_angle_gamma 90.00
loop_
_atom_site_label
_atom_site_type_symbol
_atom_site_fract_x
_atom_site_fract_y
_atom_site_fract_z
Cl1 Cl 0.506 0.495 0.168
In1 In 0.998 0.828 0.828
Rb1 Rb 0.505 0.836 0.508
Cl2 Cl 0.937 0.153 0.153
Rb2 Rb 0.005 0.492 0.164
Cl3 Cl 0.006 0.832 0.505
Rb3 Rb 0.505 0.508 0.836
Cl4 Cl 0.506 0.168 0.495
Cl5 Cl 0.006 0.505 0.832
Cl6 Cl 0.437 0.847 0.847
Rb4 Rb 0.005 0.164 0.492
In2 In 0.498 0.172 0.172

---

Run 2
# Rb2InCl3, optimized geometry, DFT PBE
# - ρ (g/cm3) = 2.98
# - symmetry = Pmmn, No. 59
data_Rb2InCl3
_space_group_name_H-M_alt 'P 1'
_space_group_IT_number 1
_space_group_name_Hall 'P 1'
_cell_length_a 4.688
_cell_length_b 6.671
_cell_length_c 13.989
_cell_angle_alpha 90.00
_cell_angle_beta 90.00
_cell_angle_gamma 90.00
loop_
_atom_site_label
_atom_site_type_symbol
_atom_site_fract_x
_atom_site_fract_y
_atom_site_fract_z
Rb1 Rb 0.500 0.752 0.166
Cl1 Cl 0.500 0.251 0.163
Cl2 Cl 0.000 0.813 0.000
Rb2 Rb 0.000 0.248 0.666
In1 In 0.000 0.249 0.000
Rb3 Rb 0.500 0.752 0.834
Cl3 Cl 0.000 0.749 0.663
Rb4 Rb 0.000 0.248 0.334
Cl4 Cl 0.000 0.749 0.337
Cl5 Cl 0.500 0.251 0.837
In2 In 0.500 0.751 0.500
Cl6 Cl 0.500 0.187 0.500

---

Best to worst by energy: run 2, run 1.